Here is a relaxed MoIBrO2 crystal from Alexandria. Energies are from GGA+U.

The structure in extended XYZ format:
```
5
Lattice="4.052 0.000 0.000 0.000 4.052 0.000 0.000 0.000 6.046" Properties=species:S:1:pos:R:3 pbc="T T T"
Mo 0.000 0.000 0.000
I 0.000 0.000 3.023
Br 2.026 2.026 3.023
O 0.000 2.026 0.000
O 2.026 0.000 0.000
```

The total energy comes out at -4.531 eV per atom.